1.
Computed, not measured: crystalline Ce3P6Pd20 at its relaxed geometry at the GGA-PBEsol level of DFT.

The spin magnetization is 0.05 μB/atom. The symmetry is Fm-3m (225). Its energy relative to the elements is -0.700 eV per atom.

Cell lengths 8.591, 8.591, 8.591 Å; angles 60.00, 60.00, 60.00 degrees
Each line ends with the local moment (μB).
Atoms (fractional coordinates):
Pd: 0.154 0.615 0.615  -0.01
Pd: 0.000 0.654 0.346  -0.01
Pd: 0.000 0.000 0.654  -0.01
Pd: 0.654 0.000 0.346  -0.01
Pd: 0.385 0.846 0.385  -0.01
Pd: 0.346 0.000 0.000  -0.01
Pd: 0.615 0.154 0.615  -0.01
Pd: 0.000 0.000 0.346  -0.01
Pd: 0.346 0.000 0.654  -0.01
Pd: 0.654 0.346 0.000  -0.01
Pd: 0.000 0.346 0.654  -0.01
Pd: 0.846 0.385 0.385  -0.01
Pd: 0.346 0.654 0.000  -0.01
Pd: 0.000 0.654 0.000  -0.01
Pd: 0.615 0.615 0.154  -0.01
Pd: 0.000 0.346 0.000  -0.01
Pd: 0.654 0.000 0.000  -0.01
Pd: 0.385 0.385 0.385  -0.01
Pd: 0.385 0.385 0.846  -0.01
Pd: 0.615 0.615 0.615  -0.01
P: 0.736 0.736 0.264  0.00
P: 0.736 0.264 0.736  0.00
P: 0.264 0.736 0.264  0.00
P: 0.264 0.264 0.736  0.00
P: 0.264 0.736 0.736  0.00
P: 0.736 0.264 0.264  0.00
Ce: 0.250 0.250 0.250  0.59
Ce: 0.750 0.750 0.750  0.59
Ce: 0.000 0.000 0.000  0.50


2.
Computed, not measured: crystalline CeP2Pt4 at its relaxed geometry at the GGA-PBEsol level of DFT.

The spin magnetization is 0.06 μB/atom. The symmetry is Pnma (62). Its energy relative to the elements is -0.883 eV per atom.

Cell lengths 4.112, 7.291, 15.468 Å; angles 90.00, 90.00, 90.00 degrees
Each line ends with the local moment (μB).
Atoms (fractional coordinates):
P: 0.250 0.294 0.056  0.00
P: 0.250 0.818 0.192  0.00
P: 0.750 0.182 0.808  0.00
P: 0.750 0.206 0.556  0.00
P: 0.750 0.682 0.692  0.00
P: 0.250 0.318 0.308  0.00
P: 0.250 0.794 0.444  0.00
P: 0.750 0.706 0.944  0.00
Pt: 0.750 0.372 0.994  0.00
Pt: 0.250 0.987 0.318  -0.01
Pt: 0.250 0.477 0.442  -0.01
Pt: 0.750 0.023 0.942  -0.01
Pt: 0.750 0.513 0.818  -0.01
Pt: 0.250 0.487 0.182  -0.01
Pt: 0.250 0.758 0.625  0.00
Pt: 0.750 0.242 0.375  0.00
Pt: 0.250 0.258 0.875  0.00
Pt: 0.750 0.742 0.125  0.00
Pt: 0.250 0.977 0.058  -0.01
Pt: 0.250 0.628 0.006  0.00
Pt: 0.750 0.872 0.506  0.00
Pt: 0.750 0.013 0.682  -0.01
Pt: 0.750 0.523 0.558  -0.01
Pt: 0.250 0.128 0.494  0.00
Ce: 0.250 0.844 0.820  0.44
Ce: 0.750 0.156 0.180  0.44
Ce: 0.750 0.656 0.320  0.44
Ce: 0.250 0.344 0.680  0.44


3.
Computed, not measured: crystalline CeP2Pt2 at its relaxed geometry at the GGA-PBEsol level of DFT.

The spin magnetization is 0.16 μB/atom. The symmetry is I4/mmm (139). Its energy relative to the elements is -0.986 eV per atom.

Cell lengths 4.241, 4.241, 9.974 Å; angles 102.27, 102.27, 90.00 degrees
Each line ends with the local moment (μB).
Atoms (fractional coordinates):
Pt: 0.000 0.500 0.000  -0.01
Pt: 0.807 0.807 0.614  0.02
Pt: 0.500 0.000 0.000  -0.01
Pt: 0.193 0.193 0.386  0.02
P: 0.250 0.750 0.500  0.01
P: 0.070 0.070 0.141  -0.01
P: 0.930 0.930 0.859  -0.01
P: 0.750 0.250 0.500  0.01
Ce: 0.372 0.372 0.745  0.71
Ce: 0.628 0.628 0.255  0.71


4.
Computed, not measured: crystalline CeP2Rh2 at its relaxed geometry at the GGA-PBEsol level of DFT.

The spin magnetization is 0.03 μB/atom. The symmetry is P4/nmm (129). Its energy relative to the elements is -1.175 eV per atom.

Cell lengths 4.102, 4.102, 9.395 Å; angles 90.00, 90.00, 90.00 degrees
Each line ends with the local moment (μB).
Atoms (fractional coordinates):
P: 0.500 0.500 0.500  0.00
P: 0.500 0.000 0.138  0.00
P: 0.000 0.000 0.500  0.00
P: 0.000 0.500 0.862  0.00
Rh: 0.500 0.500 0.000  0.02
Rh: 0.500 0.000 0.386  -0.01
Rh: 0.000 0.500 0.614  -0.01
Rh: 0.000 0.000 0.000  0.02
Ce: 0.000 0.500 0.257  0.14
Ce: 0.500 0.000 0.743  0.14


5.
Computed, not measured: crystalline CeP2Ru2 at its relaxed geometry at the GGA-PBEsol level of DFT.

The spin magnetization is 0.00 μB/atom. The symmetry is I4/mmm (139). Its energy relative to the elements is -1.048 eV per atom.

Cell lengths 4.019, 4.019, 5.584 Å; angles 111.09, 111.09, 90.00 degrees
Atoms (fractional coordinates):
P: 0.376 0.376 0.751
P: 0.624 0.624 0.249
Ce: 0.000 0.000 0.000
Ru: 0.250 0.750 0.500
Ru: 0.750 0.250 0.500


6.
Computed, not measured: crystalline CeP12Ru4 at its relaxed geometry at the GGA-PBEsol level of DFT.

The spin magnetization is 0.01 μB/atom. The symmetry is Im-3 (204). Its energy relative to the elements is -0.745 eV per atom.

Cell lengths 6.930, 6.930, 6.930 Å; angles 109.47, 109.47, 109.47 degrees
Each line ends with the local moment (μB).
Atoms (fractional coordinates):
Ce: 0.000 0.000 0.000  0.33
Ru: 0.500 0.500 0.500  -0.01
Ru: 0.500 0.000 0.000  -0.01
Ru: 0.000 0.000 0.500  -0.01
Ru: 0.000 0.500 0.000  -0.01
P: 0.855 0.645 0.500  0.00
P: 0.145 0.355 0.500  0.00
P: 0.355 0.211 0.855  0.00
P: 0.500 0.145 0.355  0.00
P: 0.500 0.855 0.645  0.00
P: 0.645 0.500 0.855  0.00
P: 0.855 0.355 0.211  0.00
P: 0.789 0.145 0.645  0.00
P: 0.645 0.789 0.145  0.00
P: 0.355 0.500 0.145  0.00
P: 0.211 0.855 0.355  0.00
P: 0.145 0.645 0.789  0.00


7.
Computed, not measured: crystalline CePS at its relaxed geometry at the GGA-PBEsol level of DFT.

The spin magnetization is 0.16 μB/atom. The symmetry is Pnma (62). The uncorrected formation energy comes out at -1.58 eV per atom.

Cell lengths 5.407, 5.447, 16.080 Å; angles 90.00, 90.00, 90.00 degrees
Each line ends with the local moment (μB).
Atoms (fractional coordinates):
S: 0.250 0.001 0.687  -0.02
S: 0.250 0.499 0.322  -0.02
S: 0.750 0.001 0.822  -0.02
S: 0.750 0.499 0.187  -0.02
S: 0.750 0.999 0.313  -0.02
S: 0.750 0.501 0.678  -0.02
S: 0.250 0.501 0.813  -0.02
S: 0.250 0.999 0.178  -0.02
Ce: 0.250 0.501 0.633  0.48
Ce: 0.750 0.002 0.645  0.42
Ce: 0.750 0.999 0.133  0.48
Ce: 0.250 0.498 0.145  0.42
Ce: 0.750 0.502 0.855  0.42
Ce: 0.750 0.499 0.367  0.48
Ce: 0.250 0.998 0.355  0.42
Ce: 0.250 0.001 0.867  0.48
P: 0.498 0.707 0.000  -0.01
P: 0.002 0.207 0.500  -0.01
P: 0.502 0.793 0.500  -0.01
P: 0.498 0.207 0.500  -0.01
P: 0.998 0.793 0.500  -0.01
P: 0.998 0.293 0.000  -0.01
P: 0.002 0.707 0.000  -0.01
P: 0.502 0.293 0.000  -0.01


8.
Computed, not measured: crystalline CeTlP2S6 at its relaxed geometry at the GGA-PBEsol level of DFT.

The spin magnetization is 0.10 μB/atom. The symmetry is P2_1/c (14). The uncorrected formation energy comes out at -0.77 eV per atom.

Cell lengths 7.433, 11.151, 11.830 Å; angles 109.34, 90.00, 90.00 degrees
Each line ends with the local moment (μB).
Atoms (fractional coordinates):
Ce: 0.109 0.403 0.649  0.96
Ce: 0.391 0.903 0.649  0.96
Ce: 0.609 0.097 0.351  0.96
Ce: 0.891 0.597 0.351  0.96
S: 0.688 0.064 0.588  -0.01
S: 0.707 0.589 0.129  0.00
S: 0.977 0.185 0.450  -0.01
S: 0.812 0.863 0.328  -0.01
S: 0.788 0.360 0.776  0.00
S: 0.188 0.436 0.412  -0.01
S: 0.312 0.637 0.672  -0.01
S: 0.477 0.315 0.550  -0.01
S: 0.812 0.564 0.588  -0.01
S: 0.288 0.140 0.224  0.00
S: 0.212 0.640 0.224  0.00
S: 0.712 0.860 0.776  0.00
S: 0.312 0.936 0.412  -0.01
S: 0.523 0.875 0.116  0.00
S: 0.293 0.411 0.871  0.00
S: 0.023 0.625 0.884  0.00
S: 0.188 0.137 0.672  -0.01
S: 0.477 0.125 0.884  0.00
S: 0.688 0.363 0.328  -0.01
S: 0.977 0.375 0.116  0.00
S: 0.793 0.089 0.129  0.00
S: 0.023 0.815 0.550  -0.01
S: 0.207 0.911 0.871  0.00
S: 0.523 0.685 0.450  -0.01
Tl: 0.904 0.128 0.872  0.00
Tl: 0.404 0.372 0.128  0.00
Tl: 0.596 0.628 0.872  0.00
Tl: 0.096 0.872 0.128  0.00
P: 0.101 0.255 0.330  0.00
P: 0.879 0.269 0.210  0.00
P: 0.621 0.769 0.210  0.00
P: 0.601 0.245 0.670  0.00
P: 0.399 0.755 0.330  0.00
P: 0.121 0.731 0.790  0.00
P: 0.379 0.231 0.790  0.00
P: 0.899 0.745 0.670  0.00


9.
Computed, not measured: crystalline CeTl2P2S7 at its relaxed geometry at the GGA-PBEsol level of DFT.

The spin magnetization is 0.08 μB/atom. The symmetry is P2_1/c (14). The uncorrected formation energy comes out at -0.72 eV per atom.

Cell lengths 6.637, 9.151, 19.475 Å; angles 98.12, 90.00, 90.00 degrees
Each line ends with the local moment (μB).
Atoms (fractional coordinates):
S: 0.437 0.193 0.781  -0.01
S: 0.009 0.952 0.736  0.00
S: 0.747 0.549 0.601  0.00
S: 0.509 0.548 0.764  0.00
S: 0.747 0.550 0.100  0.00
S: 0.742 0.414 0.895  0.00
S: 0.491 0.452 0.236  0.00
S: 0.937 0.307 0.719  -0.01
S: 0.475 0.775 0.511  0.00
S: 0.525 0.225 0.489  0.00
S: 0.751 0.478 0.400  0.00
S: 0.753 0.050 0.600  0.00
S: 0.253 0.450 0.900  0.00
S: 0.247 0.950 0.400  0.00
S: 0.563 0.807 0.219  -0.01
S: 0.249 0.522 0.600  0.00
S: 0.251 0.022 0.100  0.00
S: 0.025 0.275 0.011  0.00
S: 0.242 0.086 0.605  0.00
S: 0.758 0.914 0.395  0.00
S: 0.258 0.586 0.105  0.00
S: 0.063 0.693 0.281  -0.01
S: 0.247 0.951 0.899  0.00
S: 0.991 0.048 0.264  0.00
S: 0.749 0.978 0.900  0.00
S: 0.253 0.451 0.399  0.00
S: 0.975 0.725 0.989  0.00
S: 0.753 0.049 0.101  0.00
P: 0.490 0.402 0.833  0.01
P: 0.010 0.902 0.333  0.01
P: 0.492 0.580 0.547  0.00
P: 0.008 0.080 0.047  0.00
P: 0.508 0.420 0.453  0.00
P: 0.510 0.598 0.167  0.01
P: 0.992 0.920 0.953  0.00
P: 0.990 0.098 0.667  0.01
Ce: 0.472 0.688 0.349  0.92
Ce: 0.028 0.188 0.849  0.92
Ce: 0.528 0.312 0.651  0.92
Ce: 0.972 0.812 0.151  0.92
Tl: 0.978 0.635 0.818  0.00
Tl: 0.480 0.748 0.992  0.00
Tl: 0.020 0.248 0.492  0.00
Tl: 0.022 0.365 0.182  0.00
Tl: 0.980 0.752 0.508  0.00
Tl: 0.520 0.252 0.008  0.00
Tl: 0.478 0.865 0.682  0.00
Tl: 0.522 0.135 0.318  0.00


10.
Computed, not measured: crystalline Ce8Pd24Pb at its relaxed geometry at the GGA-PBEsol level of DFT.

The spin magnetization is 0.09 μB/atom. The symmetry is Pm-3m (221). Its energy relative to the elements is -0.730 eV per atom.

Cell lengths 8.343, 8.343, 8.343 Å; angles 90.00, 90.00, 90.00 degrees
Each line ends with the local moment (μB).
Atoms (fractional coordinates):
Pd: 0.500 0.271 0.000  0.00
Pd: 0.000 0.325 0.000  0.01
Pd: 0.000 0.729 0.500  0.00
Pd: 0.325 0.000 0.000  0.01
Pd: 0.271 0.500 0.000  0.00
Pd: 0.729 0.500 0.000  0.00
Pd: 0.675 0.000 0.000  0.01
Pd: 0.000 0.675 0.000  0.01
Pd: 0.500 0.729 0.000  0.00
Pd: 0.744 0.500 0.500  -0.01
Pd: 0.000 0.500 0.271  0.00
Pd: 0.500 0.500 0.256  -0.01
Pd: 0.500 0.256 0.500  -0.01
Pd: 0.000 0.500 0.729  0.00
Pd: 0.000 0.000 0.325  0.01
Pd: 0.500 0.744 0.500  -0.01
Pd: 0.000 0.000 0.675  0.01
Pd: 0.000 0.271 0.500  0.00
Pd: 0.500 0.000 0.271  0.00
Pd: 0.500 0.000 0.729  0.00
Pd: 0.256 0.500 0.500  -0.01
Pd: 0.271 0.000 0.500  0.00
Pd: 0.500 0.500 0.744  -0.01
Pd: 0.729 0.000 0.500  0.00
Ce: 0.753 0.247 0.247  0.34
Ce: 0.753 0.247 0.753  0.34
Ce: 0.247 0.753 0.753  0.34
Ce: 0.247 0.247 0.247  0.34
Ce: 0.753 0.753 0.753  0.34
Ce: 0.247 0.753 0.247  0.34
Ce: 0.753 0.753 0.247  0.34
Ce: 0.247 0.247 0.753  0.34
Pb: 0.000 0.000 0.000  0.00


11.
Computed, not measured: crystalline CeRhPb at its relaxed geometry at the GGA-PBEsol level of DFT.

The spin magnetization is 0.09 μB/atom. The symmetry is P-62m (189). Its energy relative to the elements is -0.609 eV per atom.

Cell lengths 4.001, 7.521, 7.521 Å; angles 120.00, 90.00, 90.00 degrees
Each line ends with the local moment (μB).
Atoms (fractional coordinates):
Pb: 0.000 0.000 0.258  -0.01
Pb: 0.000 0.742 0.742  -0.01
Pb: 0.000 0.258 0.000  -0.01
Rh: 0.000 0.333 0.667  -0.04
Rh: 0.500 0.000 0.000  -0.03
Rh: 0.000 0.667 0.333  -0.04
Ce: 0.500 0.589 0.000  0.30
Ce: 0.500 0.000 0.589  0.30
Ce: 0.500 0.411 0.411  0.30


12.
Computed, not measured: crystalline Ce2PbSe4 at its relaxed geometry at the GGA-PBEsol level of DFT.

The spin magnetization is 0.29 μB/atom. The symmetry is I-42d (122). The uncorrected formation energy comes out at -1.40 eV per atom.

Cell lengths 7.688, 7.688, 7.688 Å; angles 109.49, 109.49, 109.44 degrees
Each line ends with the local moment (μB).
Atoms (fractional coordinates):
Se: 0.364 0.117 0.093  -0.02
Se: 0.521 0.774 0.407  -0.02
Se: 0.024 0.271 0.907  -0.02
Se: 0.367 0.114 0.593  -0.02
Se: 0.886 0.479 0.253  -0.02
Se: 0.226 0.633 0.747  -0.02
Se: 0.883 0.976 0.247  -0.02
Se: 0.729 0.636 0.753  -0.02
Ce: 0.258 0.375 0.383  0.94
Ce: 0.992 0.875 0.617  0.94
Ce: 0.625 0.008 0.883  0.94
Ce: 0.125 0.742 0.117  0.94
Pb: 0.750 0.250 0.500  0.01
Pb: 0.500 0.500 0.000  0.01


Number 1: raw total energy -6.69 eV/atom, calculated volume 15.46 A^3/atom. Number 2: raw total energy -7.46 eV/atom, calculated volume 16.56 A^3/atom. Number 3: raw total energy -7.41 eV/atom, calculated volume 17.11 A^3/atom. Number 4: raw total energy -8.07 eV/atom, calculated volume 15.81 A^3/atom. Number 5: raw total energy -8.75 eV/atom, calculated volume 15.53 A^3/atom. Number 6: raw total energy -7.61 eV/atom, calculated volume 15.07 A^3/atom. Number 7: raw total energy -7.17 eV/atom, calculated volume 19.73 A^3/atom. Number 8: raw total energy -5.48 eV/atom, calculated volume 23.13 A^3/atom. Number 9: raw total energy -5.23 eV/atom, calculated volume 24.39 A^3/atom. Number 10: raw total energy -6.78 eV/atom, calculated volume 17.60 A^3/atom. Number 11: raw total energy -6.85 eV/atom, calculated volume 21.77 A^3/atom. Number 12: raw total energy -6.05 eV/atom, calculated volume 24.98 A^3/atom.